Material: PmPr14Er
Method: DFT, PBE
State: optimized geometry

Unit cell a=7.3889 b=7.3889 c=10.4642 alpha=90.00 beta=90.00 gamma=89.99
Fractional coordinates of all 16 atoms:
Pm 0.8749 0.1251 0.0000
Pr 0.3749 0.6251 0.5000
Pr 0.8750 0.1250 0.5000
Pr 0.8749 0.6248 0.0000
Pr 0.8751 0.6252 0.5000
Pr 0.3752 0.1251 0.0000
Pr 0.3748 0.1249 0.5000
Pr 0.6238 0.8738 0.7522
Pr 0.6238 0.8738 0.2478
Pr 0.1262 0.3762 0.7522
Pr 0.1262 0.3762 0.2478
Pr 0.1261 0.8739 0.7524
Pr 0.1261 0.8739 0.2476
Pr 0.6239 0.3761 0.7520
Pr 0.6239 0.3761 0.2480
Er 0.3750 0.6250 0.0000

## Properties
Raw total energy, eV/cell: -76.031
Spin magnetization, μB per atom: 0.000